No. 1
# PBE-GGA AlCd2Sn, optimized geometry
# Energy of formation: 0.15 eV per atom
# VASP energy: -2.245 eV per atom
# Mass density: 6.41 g/cm3
# Distance to the lowest polymorph of the same formula: 36.6 meV per atom
data_AlCd2Sn
_chemical_formula_sum 'Al2 Cd4 Sn2'
_symmetry_space_group_name_H-M 'P 1'
_symmetry_Int_Tables_number 1
_symmetry_space_group_name_Hall 'P 1'
_cell_length_a 11.109
_cell_length_b 11.109
_cell_length_c 11.109
_cell_angle_alpha 158.03
_cell_angle_beta 158.03
_cell_angle_gamma 31.27
loop_
_atom_site_label
_atom_site_fract_x
_atom_site_fract_y
_atom_site_fract_z
Al1 0.000 0.000 0.000
Al2 0.750 0.250 0.500
Cd1 0.115 0.625 0.990
Cd2 0.375 0.365 0.490
Cd3 0.635 0.125 0.010
Cd4 0.875 0.885 0.510
Sn1 0.250 0.750 0.500
Sn2 0.500 0.500 0.000



No. 2
# PBE-GGA Ac4Sn5, optimized geometry
# Energy of formation: -0.36 eV per atom
# VASP energy: -4.405 eV per atom
# Mass density: 7.69 g/cm3
data_Ac4Sn5
_chemical_formula_sum 'Ac4 Sn5'
_symmetry_space_group_name_H-M 'P 1'
_symmetry_Int_Tables_number 1
_symmetry_space_group_name_Hall 'P 1'
_cell_length_a 7.706
_cell_length_b 7.706
_cell_length_c 7.706
_cell_angle_alpha 101.11
_cell_angle_beta 101.11
_cell_angle_gamma 127.93
loop_
_atom_site_label
_atom_site_fract_x
_atom_site_fract_y
_atom_site_fract_z
Ac1 0.060 0.321 0.382
Ac2 0.321 0.940 0.261
Ac3 0.679 0.060 0.739
Ac4 0.940 0.679 0.618
Sn1 0.000 0.000 0.000
Sn2 0.298 0.585 0.883
Sn3 0.415 0.298 0.712
Sn4 0.585 0.702 0.288
Sn5 0.702 0.415 0.117



No. 3
# PBE-GGA YHfCoPd, optimized geometry
# Energy of formation: -0.41 eV per atom
# VASP energy: -7.590 eV per atom
# Mass density: 9.63 g/cm3
data_YHfCoPd
_chemical_formula_sum 'Y1 Hf1 Co1 Pd1'
_symmetry_space_group_name_H-M 'P 1'
_symmetry_Int_Tables_number 1
_symmetry_space_group_name_Hall 'P 1'
_cell_length_a 4.725
_cell_length_b 4.725
_cell_length_c 4.725
_cell_angle_alpha 60.00
_cell_angle_beta 60.00
_cell_angle_gamma 60.00
loop_
_atom_site_label
_atom_site_fract_x
_atom_site_fract_y
_atom_site_fract_z
Y1 0.000 0.000 0.000
Hf1 0.500 0.500 0.500
Co1 0.250 0.250 0.250
Pd1 0.750 0.750 0.750



No. 4
# PBE-GGA VSiPd3, optimized geometry
# E_form (uncorrected): 85 kJ per mole of atoms
# VASP energy: -5.145 eV per atom
# Mass density: 6.79 g/cm3
# Distance to the lowest polymorph of the same formula: 686.1 meV per atom
data_VSiPd3
_chemical_formula_sum 'V1 Si1 Pd3'
_symmetry_space_group_name_H-M 'P 1'
_symmetry_Int_Tables_number 1
_symmetry_space_group_name_Hall 'P 1'
_cell_length_a 4.602
_cell_length_b 4.602
_cell_length_c 4.602
_cell_angle_alpha 90.00
_cell_angle_beta 90.00
_cell_angle_gamma 90.00
loop_
_atom_site_label
_atom_site_fract_x
_atom_site_fract_y
_atom_site_fract_z
V1 0.000 0.000 0.000
Si1 0.500 0.500 0.500
Pd1 0.000 0.000 0.500
Pd2 0.000 0.500 0.000
Pd3 0.500 0.000 0.000



- What is the formula in the fourth record?
  VSiPd3



Repeat the third record exactly.
# PBE-GGA YHfCoPd, optimized geometry
# Energy of formation: -0.41 eV per atom
# VASP energy: -7.590 eV per atom
# Mass density: 9.63 g/cm3
data_YHfCoPd
_chemical_formula_sum 'Y1 Hf1 Co1 Pd1'
_symmetry_space_group_name_H-M 'P 1'
_symmetry_Int_Tables_number 1
_symmetry_space_group_name_Hall 'P 1'
_cell_length_a 4.725
_cell_length_b 4.725
_cell_length_c 4.725
_cell_angle_alpha 60.00
_cell_angle_beta 60.00
_cell_angle_gamma 60.00
loop_
_atom_site_label
_atom_site_fract_x
_atom_site_fract_y
_atom_site_fract_z
Y1 0.000 0.000 0.000
Hf1 0.500 0.500 0.500
Co1 0.250 0.250 0.250
Pd1 0.750 0.750 0.750